[1]
# V2Pd5Rh2 PBE optimized geometry
data_V2Pd5Rh2
_cell_length_a 7.107
_cell_length_b 4.368
_cell_length_c 9.345
_cell_angle_alpha 90.00
_cell_angle_beta 106.56
_cell_angle_gamma 90.00
_symmetry_space_group_name_H-M 'C 1 2/m 1'
_symmetry_Int_Tables_number 12
_symmetry_space_group_name_Hall '-C 2y'
loop_
_atom_site_label
_atom_site_fract_x
_atom_site_fract_y
_atom_site_fract_z
V1 0.067 0.000 0.282
Pd1 0.000 0.000 0.000
Pd2 0.193 0.500 0.124
Pd3 0.200 0.000 0.567
Rh1 0.096 0.500 0.720
# density of states at the Fermi level	13.4	states/eV per cell
# ΔH_f (0 K)	-76	meV per atom

=====

[2]
# V6PdRh12 PBE optimized geometry
data_V6PdRh12
_cell_length_a 11.2754
_cell_length_b 11.2754
_cell_length_c 7.6088
_cell_angle_alpha 90.00
_cell_angle_beta 90.00
_cell_angle_gamma 120.00
_symmetry_space_group_name_H-M 'R -3'
_symmetry_Int_Tables_number 148
_symmetry_space_group_name_Hall '-R 3'
loop_
_atom_site_label
_atom_site_fract_x
_atom_site_fract_y
_atom_site_fract_z
V1 0.0355 0.8563 0.2484
Pd1 0.0000 0.0000 0.5000
Rh1 0.0231 0.7790 0.5604
Rh2 0.0716 0.8255 0.9401
# density of states at the Fermi level	51.9	states/eV per cell
# ΔH_f (0 K)	-160	meV per atom

=====

[3]
# VPd6Rh PBE optimized geometry
data_VPd6Rh
_cell_length_a 4.450
_cell_length_b 5.545
_cell_length_c 9.678
_cell_angle_alpha 90.00
_cell_angle_beta 90.00
_cell_angle_gamma 90.00
_symmetry_space_group_name_H-M 'A m m 2'
_symmetry_Int_Tables_number 38
_symmetry_space_group_name_Hall 'A 2 -2'
loop_
_atom_site_label
_atom_site_fract_x
_atom_site_fract_y
_atom_site_fract_z
V1 0.000 0.000 0.000
Pd1 0.000 0.000 0.490
Pd2 0.000 0.250 0.239
Pd3 0.500 0.000 0.655
Pd4 0.500 0.245 0.906
Rh1 0.500 0.000 0.149
# density of states at the Fermi level	25.7	states/eV per cell
# ΔH_f (0 K)	-95	meV per atom

=====

[4]
# V2Pd7Rh PBE optimized geometry
data_V2Pd7Rh
_cell_length_a 8.366
_cell_length_b 14.805
_cell_length_c 2.703
_cell_angle_alpha 90.00
_cell_angle_beta 90.00
_cell_angle_gamma 90.00
_symmetry_space_group_name_H-M 'C m m m'
_symmetry_Int_Tables_number 65
_symmetry_space_group_name_Hall '-C 2 2'
loop_
_atom_site_label
_atom_site_fract_x
_atom_site_fract_y
_atom_site_fract_z
V1 0.000 0.168 0.000
Pd1 0.000 0.000 0.000
Pd2 0.000 0.309 0.500
Pd3 0.237 0.399 0.000
Rh1 0.000 0.500 0.500
# density of states at the Fermi level	16.9	states/eV per cell
# ΔH_f (0 K)	222	meV per atom

=====

[5]
# V3PdRh3 PBE optimized geometry
data_V3PdRh3
_cell_length_a 7.434
_cell_length_b 7.434
_cell_length_c 7.434
_cell_angle_alpha 90.00
_cell_angle_beta 90.00
_cell_angle_gamma 90.00
_symmetry_space_group_name_H-M 'P 21 3'
_symmetry_Int_Tables_number 198
_symmetry_space_group_name_Hall 'P 2ac 2ab 3'
loop_
_atom_site_label
_atom_site_fract_x
_atom_site_fract_y
_atom_site_fract_z
V1 0.122 0.378 0.622
V2 0.147 0.853 0.353
V3 0.220 0.220 0.220
Pd1 0.063 0.563 0.937
Rh1 0.020 0.194 0.901
# density of states at the Fermi level	23.6	states/eV per cell
# ΔH_f (0 K)	-186	meV per atom

=====

[6]
# V2PdRh4 PBE optimized geometry
data_V2PdRh4
_cell_length_a 4.733
_cell_length_b 4.733
_cell_length_c 11.881
_cell_angle_alpha 90.00
_cell_angle_beta 90.00
_cell_angle_gamma 90.00
_symmetry_space_group_name_H-M 'I 4/m m m'
_symmetry_Int_Tables_number 139
_symmetry_space_group_name_Hall '-I 4 2'
loop_
_atom_site_label
_atom_site_fract_x
_atom_site_fract_y
_atom_site_fract_z
V1 0.000 0.000 0.108
Pd1 0.000 0.000 0.500
Rh1 0.000 0.000 0.282
Rh2 0.000 0.500 0.000
# density of states at the Fermi level	15.6	states/eV per cell
# ΔH_f (0 K)	947	meV per atom
# ΔE to the lowest computed polymorph	1.0325	eV per atom